Entry from the Alexandria database: an optimized crystal structure of CdRuI3 (PBE).

abc: 5.8535 5.8535 5.8535
angles: 90.00 90.00 90.00
Site moments in Bohr magnetons follow the coordinates.
Fractional positions:
Cd 0.0000 0.0000 0.0000  0.01
Ru 0.5000 0.5000 0.5000  2.68
I 0.0000 0.5000 0.0000  0.02
I 0.0000 0.0000 0.5000  0.01
I 0.5000 0.0000 0.0000  0.02

Results
- formation energy (no corrections) (eV per atom) = 0.808
- SG = Pm-3m
- uncorrected energy (eV per atom) = -2.160
- E above lowest polymorph (eV/f.u.) = 2.61


Entry from the Alexandria database: an optimized crystal structure of CdRu3I (PBE).

abc: 4.8051 4.8051 4.8051
angles: 90.00 90.00 90.00
Site moments in Bohr magnetons follow the coordinates.
Fractional positions:
Ru 0.5000 0.0000 0.0000  0.42
Ru 0.0000 0.0000 0.5000  0.56
Ru 0.0000 0.5000 0.0000  0.47
Cd 0.5000 0.5000 0.5000  -0.02
I 0.0000 0.0000 0.0000  -0.01

Results
- formation energy (no corrections) (eV per atom) = 1.590
- SG = Pm-3m
- uncorrected energy (eV per atom) = -4.469
- E above lowest polymorph (eV/f.u.) = 0.00


Entry from the Alexandria database: an optimized crystal structure of CdSb2RuI (PBE).

abc: 5.0828 5.0828 5.8164
angles: 90.00 90.00 90.00
Fractional positions:
I 0.0000 0.0000 0.5000
Sb 0.5000 0.0000 0.0000
Cd 0.5000 0.5000 0.5000
Ru 0.0000 0.0000 0.0000
Sb 0.0000 0.5000 0.0000

Results
- formation energy (no corrections) (eV per atom) = 0.359
- SG = P4/mmm
- uncorrected energy (eV per atom) = -3.639
- E above lowest polymorph (eV/f.u.) = 0.00


Entry from the Alexandria database: an optimized crystal structure of CdSi2RuI (PBE).

abc: 5.3186 4.8639 5.3186
angles: 90.00 90.00 90.00
Fractional positions:
Si 0.5000 0.0000 0.0000
Ru 0.0000 0.5000 0.0000
Cd 0.5000 0.5000 0.5000
Si 0.0000 0.0000 0.5000
I 0.0000 0.0000 0.0000

Results
- formation energy (no corrections) (eV per atom) = 1.637
- SG = P4/mmm
- uncorrected energy (eV per atom) = -2.880


Entry from the Alexandria database: an optimized crystal structure of Cd2TcRuI (PBE).

abc: 5.4304 4.5780 5.4304
angles: 90.00 90.00 90.00
Site moments in Bohr magnetons follow the coordinates.
Fractional positions:
Tc 0.0000 0.0000 0.0000  0.62
Cd 0.5000 0.0000 0.0000  0.00
Cd 0.0000 0.0000 0.5000  0.00
I 0.5000 0.5000 0.5000  0.02
Ru 0.0000 0.5000 0.0000  0.65

Results
- formation energy (no corrections) (eV per atom) = 0.971
- SG = P4/mmm
- uncorrected energy (eV per atom) = -3.633


Entry from the Alexandria database: an optimized crystal structure of VCd2RuI (PBE).

abc: 5.5134 4.3829 5.5134
angles: 90.00 90.00 90.00
Site moments in Bohr magnetons follow the coordinates.
Fractional positions:
Cd 0.0000 0.0000 0.5000  0.01
Cd 0.5000 0.0000 0.0000  0.00
V 0.0000 0.0000 0.0000  1.43
I 0.5000 0.5000 0.5000  0.01
Ru 0.0000 0.5000 0.0000  -0.71

Results
- formation energy (no corrections) (eV per atom) = 0.844
- SG = P4/mmm
- uncorrected energy (eV per atom) = -3.511


Entry from the Alexandria database: an optimized crystal structure of YCdRuI2 (PBE).

abc: 5.9024 6.2873 5.9024
angles: 90.00 90.00 90.00
Site moments in Bohr magnetons follow the coordinates.
Fractional positions:
Ru 0.5000 0.5000 0.5000  2.85
Cd 0.0000 0.5000 0.0000  0.01
I 0.5000 0.0000 0.0000  0.04
Y 0.0000 0.0000 0.0000  -0.01
I 0.0000 0.0000 0.5000  0.03

Results
- formation energy (no corrections) (eV per atom) = 0.756
- SG = P4/mmm
- uncorrected energy (eV per atom) = -3.195


Entry from the Alexandria database: an optimized crystal structure of ZnCdRuI2 (PBE).

abc: 5.5919 4.9792 5.5919
angles: 90.00 90.00 90.00
Site moments in Bohr magnetons follow the coordinates.
Fractional positions:
Ru 0.0000 0.5000 0.0000  2.09
Zn 0.0000 0.0000 0.0000  -0.03
I 0.5000 0.0000 0.0000  0.04
Cd 0.5000 0.5000 0.5000  0.11
I 0.0000 0.0000 0.5000  0.05

Results
- formation energy (no corrections) (eV per atom) = 0.855
- SG = P4/mmm
- uncorrected energy (eV per atom) = -2.058


Entry from the Alexandria database: an optimized crystal structure of CdSI (PBE).

abc: 4.0667 6.6498 11.4171
angles: 139.98 100.26 90.00
Fractional positions:
S 0.9517 0.2530 0.9033
I 0.6769 0.5573 0.3538
Cd 0.3419 0.0510 0.6839
S 0.0483 0.7470 0.0967
I 0.3231 0.4427 0.6462
Cd 0.6581 0.9490 0.3161

Results
- formation energy (no corrections) (eV per atom) = -0.390
- SG = C2/m
- uncorrected energy (eV per atom) = -2.587
- E above lowest polymorph (eV/f.u.) = 0.00


Entry from the Alexandria database: an optimized crystal structure of CdS3I (PBE).

abc: 5.0921 5.0921 5.0921
angles: 90.00 90.00 90.00
Fractional positions:
S 0.0000 0.5000 0.0000
Cd 0.5000 0.5000 0.5000
I 0.0000 0.0000 0.0000
S 0.5000 0.0000 0.0000
S 0.0000 0.0000 0.5000

Results
- formation energy (no corrections) (eV per atom) = 0.771
- SG = Pm-3m
- uncorrected energy (eV per atom) = -2.199
- E above lowest polymorph (eV/f.u.) = 0.00


Entry from the Alexandria database: an optimized crystal structure of Cd3SI3 (PBE).

abc: 6.7321 9.6860 9.6873
angles: 120.20 90.00 90.00
Fractional positions:
I 0.2500 0.6654 0.8319
Cd 0.2500 0.3688 0.1850
I 0.7500 0.3346 0.1681
Cd 0.7500 0.1845 0.3688
Cd 0.7500 0.6312 0.8150
I 0.2500 0.1675 0.8329
S 0.7500 0.3330 0.6670
Cd 0.2500 0.8155 0.1840
Cd 0.2500 0.8155 0.6312
I 0.7500 0.8325 0.1671
I 0.7500 0.8323 0.6654
I 0.2500 0.1677 0.3346
Cd 0.7500 0.1845 0.8160
S 0.2500 0.6670 0.3330

Results
- formation energy (no corrections) (eV per atom) = -0.357
- SG = Cmcm
- uncorrected energy (eV per atom) = -2.003


Entry from the Alexandria database: an optimized crystal structure of CdSI (PBE).

abc: 9.5046 10.0830 7.5424
angles: 106.24 90.00 118.12
Fractional positions:
I 0.5025 0.8332 0.5069
S 0.9485 0.6032 0.3480
Cd 0.5033 0.3276 0.9052
S 0.1555 0.0000 0.7500
Cd 0.0000 0.0000 0.0000
Cd 0.4967 0.6724 0.0948
Cd 0.1757 0.6724 0.5948
Cd 0.0000 0.0000 0.5000
Cd 0.8243 0.3276 0.4052
I 0.4975 0.1668 0.4931
I 0.5000 0.5000 0.5000
S 0.0515 0.3968 0.6520
S 0.3454 0.3968 0.1520
I 0.3307 0.8332 0.0069
I 0.6693 0.1668 0.9931
S 0.6546 0.6032 0.8480
I 0.0000 0.5000 0.0000
S 0.8445 0.0000 0.2500

Results
- formation energy (no corrections) (eV per atom) = -0.183
- SG = C2/c
- uncorrected energy (eV per atom) = -2.381
- E above lowest polymorph (eV/f.u.) = 0.62